First-principles (PBE-GGA) data for an optimized crystal structure of Ga6SnPb, as listed in Alexandria.

Cell lengths 5.6605, 5.6605, 5.6605 Å; angles 90.00, 90.00, 90.00 degrees
With the nearest neighbours (Å) after each atom.
Fractional positions:
Ga: 0.7530 0.0000 0.5000  2 Ga 2.80-2.86
Ga: 0.0000 0.5000 0.7530  2 Ga 2.80-2.86
Ga: 0.5000 0.2470 0.0000  2 Ga 2.80-2.86
Ga: 0.2470 0.0000 0.5000  2 Ga 2.80-2.86
Ga: 0.5000 0.7530 0.0000  2 Ga 2.80-2.86
Ga: 0.0000 0.5000 0.2470  2 Ga 2.80-2.86
Pb: 0.5000 0.5000 0.5000  12 Ga 3.17
Sn: 0.0000 0.0000 0.0000  12 Ga 3.16

Properties
- energy relative to the elements (meV per atom) = 104
- calculated volume (Å³/cell) = 181.4
- magnetic moment (μB/f.u.) = 0.00
- polymorph energy (0 for the lowest one) (meV per atom) = 57.8